DFT (PBE+U) results for a relaxed ScWF2 crystal.

```
ScWF2
1.0
0.0000 3.0944 3.0944
3.0944 0.0000 3.0944
3.0944 3.0944 0.0000
Sc W F
1 1 2
direct
0.0000 0.0000 0.0000
0.5000 0.5000 0.5000
0.2500 0.2500 0.2500
0.7500 0.7500 0.7500
```

## Properties
E	-4.857	eV per atom
crystal system	cubic

DFT (PBE+U) results for a relaxed Sc2ZnWF crystal.

```
Sc2ZnWF
1.0
5.1006 0.0000 0.0000
0.0000 5.1006 0.0000
0.0000 0.0000 4.9473
Sc Zn W F
2 1 1 1
direct
0.0000 0.5000 0.0000
0.5000 0.0000 0.0000
0.0000 0.0000 0.0000
0.0000 0.0000 0.5000
0.5000 0.5000 0.5000
```

## Properties
E	-4.119	eV per atom
crystal system	tetragonal

Please write out number 1 again, unchanged.
DFT (PBE+U) results for a relaxed ScWF2 crystal.

```
ScWF2
1.0
0.0000 3.0944 3.0944
3.0944 0.0000 3.0944
3.0944 3.0944 0.0000
Sc W F
1 1 2
direct
0.0000 0.0000 0.0000
0.5000 0.5000 0.5000
0.2500 0.2500 0.2500
0.7500 0.7500 0.7500
```

## Properties
E	-4.857	eV per atom
crystal system	cubic

E of number 2 (Sc2ZnWF)?
-4.119 eV per atom